First-principles (GGA+U) data for crystalline BaFeO3 at its relaxed geometry, as listed in Alexandria.

Density (g cm⁻³): 4.837
DOS at the Fermi energy (states/eV/cell): 0.000
Electronic total energy (eV per atom): -5.975

a b c (Å): 10.2324 10.2324 10.2324
angles (deg): 156.84 156.84 32.99
With the nearest neighbours (Å) after each atom.
Fractional coordinates of all 10 atoms:
Ba: 0.0979 0.0979 0.0000  8 O 2.71-2.92
Ba: 0.9021 0.9021 0.0000  8 O 2.71-2.92
Fe: 0.5000 0.5000 0.0000  4 O 2.06
Fe: 0.7500 0.2500 0.5000  4 O 1.99
O: 0.0076 0.5076 0.5000  2 Fe 2.06
O: 0.1433 0.3267 0.8167  1 O 1.51
O: 0.4924 0.9924 0.5000  2 Fe 2.06
O: 0.5100 0.3267 0.1833  1 O 1.51
O: 0.6733 0.4900 0.8167  1 O 1.51
O: 0.6733 0.8567 0.1833  1 O 1.51